[1]
A plane-wave DFT calculation with GGA-PBE was carried out for Ba2ScAlSe5 after structural relaxation.

Structure (extended XYZ):
```
18
Lattice="2.075 -9.474 0.000 2.075 9.474 0.000 0.000 0.000 13.335" Properties=species:S:1:pos:R:3 pbc="T T T"
Ba 2.075 7.159 6.667
Ba 2.075 7.040 1.766
Ba 2.075 -7.040 8.433
Ba 2.075 -7.159 0.000
Sc 2.075 5.524 11.187
Sc 2.075 -5.524 4.519
Al 2.075 1.244 3.292
Al 2.075 -1.244 9.960
Se 2.075 8.457 11.323
Se 2.075 3.881 6.275
Se 2.075 3.582 2.593
Se 2.075 2.930 10.917
Se 2.075 0.047 1.259
Se 2.075 -0.047 7.927
Se 2.075 -2.930 4.249
Se 2.075 -3.582 9.261
Se 2.075 -3.881 12.942
Se 2.075 -8.457 4.655
```

- space group = Cmc2_1 (36)
- energy (eV/f.u.) = -46.35

---

[2]
A plane-wave DFT calculation with GGA-PBE was carried out for BaScAlSe4 after structural relaxation.

Structure (extended XYZ):
```
14
Lattice="6.638 0.000 0.000 0.000 7.027 0.000 -2.623 0.000 8.298" Properties=species:S:1:pos:R:3 pbc="T T T"
Ba 1.425 1.757 0.451
Ba 2.591 5.270 7.847
Sc -0.002 1.757 4.575
Sc 4.018 5.270 3.723
Al 0.692 5.270 2.781
Al 3.324 1.757 5.517
Se -1.751 3.558 5.859
Se -1.751 6.982 5.859
Se 2.484 5.270 1.242
Se 1.637 5.270 4.908
Se 2.379 1.757 3.390
Se 1.532 1.757 7.056
Se 5.767 0.045 2.439
Se 5.767 3.468 2.439
```

- space group = P2_1/m (11)
- energy (eV/f.u.) = -36.14